(1)
{
  "formula": "ErTh2S6",
  "functional": "PBE",
  "state": "optimized geometry",
  "magnetic_moment_mub_per_cell": 0.0,
  "dft_energy_ev_per_atom": -6.595,
  "cell": [[-1.4412, 5.1789, 3.5369], [-5.0850, 1.1590, -3.7691], [-7.1955, -7.1339, 7.5139]],
  "species": ["S", "S", "S", "Th", "S", "S", "S", "S", "Th", "Er", "Th", "Er", "Th", "S", "S", "S", "S", "S"],
  "frac_coords": [[0.1953, 0.8047, 0.3384], [0.6953, 0.6953, 0.1616], [0.3047, 0.3047, 0.8384], [0.0000, 0.0000, 0.8314], [0.3047, 0.3047, 0.1616], [0.1953, 0.8047, 0.6616], [0.6953, 0.6953, 0.8384], [0.3016, 0.3016, 0.5000], [0.0000, 0.0000, 0.1686], [0.5000, 0.5000, 0.0000], [0.5000, 0.5000, 0.3314], [0.0000, 0.0000, 0.5000], [0.5000, 0.5000, 0.6686], [0.8047, 0.1953, 0.6616], [0.1984, 0.8016, 0.0000], [0.6984, 0.6984, 0.5000], [0.8047, 0.1953, 0.3384], [0.8016, 0.1984, 0.0000]]
}

(2)
{
  "formula": "Er3ThS6",
  "functional": "PBE",
  "state": "optimized geometry",
  "magnetic_moment_mub_per_cell": 0.0,
  "dft_energy_ev_per_atom": -6.644,
  "cell": [[3.9177, 0.0000, 0.0000], [0.0000, 10.9897, 0.0714], [0.0000, -3.6045, 10.6888]],
  "species": ["S", "Er", "S", "S", "S", "S", "Er", "S", "Er", "Er", "S", "S", "S", "S", "S", "Er", "Th", "Er", "Th", "S"],
  "frac_coords": [[0.2500, 0.5203, 0.3856], [0.2500, 0.8388, 0.9174], [0.7500, 0.9177, 0.0942], [0.2500, 0.8818, 0.5341], [0.7500, 0.8073, 0.7487], [0.7500, 0.7391, 0.2724], [0.2500, 0.5650, 0.1661], [0.7500, 0.1182, 0.4659], [0.2500, 0.3214, 0.4994], [0.7500, 0.4350, 0.8339], [0.2500, 0.1927, 0.2513], [0.2500, 0.2609, 0.7276], [0.2500, 0.0823, 0.9058], [0.2500, 0.6050, 0.9392], [0.7500, 0.4797, 0.6144], [0.7500, 0.6786, 0.5006], [0.2500, 0.9515, 0.3036], [0.7500, 0.1612, 0.0826], [0.7500, 0.0485, 0.6964], [0.7500, 0.3950, 0.0608]]
}

(3)
{
  "formula": "ErTh4S5",
  "functional": "PBE",
  "state": "optimized geometry",
  "magnetic_moment_mub_per_cell": 0.0,
  "dft_energy_ev_per_atom": -7.337,
  "cell": [[5.1132, 0.0000, 2.4663], [2.5566, 6.3424, 1.2331], [-0.1987, 0.0000, 6.9457]],
  "species": ["S", "Th", "S", "Th", "Th", "S", "S", "Th", "Er", "S"],
  "frac_coords": [[0.1008, 0.6111, 0.1893], [0.1976, 0.2065, 0.4003], [0.2901, 0.8107, 0.6111], [0.8044, 0.7935, 0.5997], [0.4041, 0.4003, 0.7935], [0.5012, 0.0000, 0.0000], [0.7119, 0.1893, 0.3889], [0.5979, 0.5997, 0.2065], [0.0011, 0.0000, 0.0000], [0.9012, 0.3889, 0.8107]]
}

(4)
{
  "formula": "ErTmTh2S4",
  "functional": "PBE",
  "state": "optimized geometry",
  "magnetic_moment_mub_per_cell": 0.0,
  "dft_energy_ev_per_atom": -6.932,
  "cell": [[-0.0387, 3.8176, 0.7072], [-6.2116, -0.5048, 2.3845], [4.5573, -0.9465, 5.3591]],
  "species": ["Tm", "S", "Er", "S", "S", "Th", "Th", "S"],
  "frac_coords": [[0.5000, 0.5000, 0.0000], [0.0000, 0.7420, 0.2282], [0.0000, 0.0000, 0.0000], [0.0000, 0.2580, 0.7718], [0.5000, 0.2442, 0.2288], [0.0000, 0.5000, 0.5000], [0.5000, 0.0000, 0.5000], [0.5000, 0.7558, 0.7712]]
}

(5)
{
  "formula": "Er2Tm3ThS6",
  "functional": "PBE",
  "state": "optimized geometry",
  "magnetic_moment_mub_per_cell": 0.0,
  "dft_energy_ev_per_atom": -6.470,
  "cell": [[3.8754, 0.0000, 0.0000], [0.0000, 7.8015, 0.2777], [-1.9377, -2.2497, 8.1691]],
  "species": ["Tm", "Tm", "S", "S", "S", "S", "Th", "Er", "S", "S", "Tm", "Er"],
  "frac_coords": [[0.1626, 0.8340, 0.3253], [0.5000, 0.5000, 0.0000], [0.9997, 0.7347, 0.9995], [0.0003, 0.2653, 0.0005], [0.6736, 0.0856, 0.3471], [0.3264, 0.9144, 0.6529], [0.5000, 0.0000, 0.0000], [0.1639, 0.3289, 0.3279], [0.3323, 0.4154, 0.6645], [0.6677, 0.5846, 0.3355], [0.8374, 0.1660, 0.6747], [0.8361, 0.6711, 0.6721]]
}

(6)
{
  "formula": "Er3TmTh4S8",
  "functional": "PBE",
  "state": "optimized geometry",
  "magnetic_moment_mub_per_cell": 0.0,
  "dft_energy_ev_per_atom": -6.951,
  "cell": [[-1.0755, -5.8964, -4.9021], [-4.5879, -3.7308, 5.4942], [-1.8794, 7.2019, -2.1352]],
  "species": ["S", "S", "S", "Er", "S", "S", "S", "Th", "Th", "Er", "Th", "S", "S", "Er", "Tm", "Th"],
  "frac_coords": [[0.7433, 0.7298, 0.4865], [0.2426, 0.7292, 0.9866], [0.7440, 0.7292, 0.9866], [0.5000, 0.5000, 0.5000], [0.2560, 0.2708, 0.0134], [0.2567, 0.2702, 0.5135], [0.2426, 0.7292, 0.4851], [0.5000, 0.0000, 0.5000], [0.0000, 0.0000, 0.0000], [0.5000, 0.5000, 0.0000], [0.5000, 0.0000, 0.0000], [0.7574, 0.2708, 0.0134], [0.7574, 0.2708, 0.5149], [0.0000, 0.5000, 0.5000], [0.0000, 0.5000, 0.0000], [0.0000, 0.0000, 0.5000]]
}